VASP calculation (PBE) on an optimized crystal structure of PmInO.

E_tot (eV/atom): -6.193
Formation energy without anion corrections (eV/atom): -2.044
Energy relative to the lowest polymorph listed for this composition (meV/atom): 0
Volume (Å³/cell): 135.5
Total moment (μB/f.u.): 0.00

a b c (Å): 4.045 4.045 8.281
angles (deg): 90.00 90.00 90.00
Sites, in units of the cell vectors:
Pm 0.250 0.250 0.137
Pm 0.750 0.750 0.863
In 0.250 0.250 0.581
In 0.750 0.750 0.419
O 0.250 0.750 0.000
O 0.750 0.250 0.000

VASP calculation (PBE) on an optimized crystal structure of Pm5In2O2.

E_tot (eV/atom): -5.791
Formation energy without anion corrections (eV/atom): -1.441
Volume (Å³/cell): 472.0
Total moment (μB/f.u.): 0.00

a b c (Å): 10.805 10.805 10.805
angles (deg): 142.26 54.63 142.00
Sites, in units of the cell vectors:
Pm 0.000 0.000 0.500
Pm 0.000 0.500 0.000
Pm 0.202 0.065 0.137
Pm 0.241 0.000 0.741
Pm 0.241 0.500 0.241
Pm 0.428 0.065 0.363
Pm 0.572 0.935 0.637
Pm 0.759 0.000 0.259
Pm 0.759 0.500 0.759
Pm 0.798 0.935 0.863
In 0.105 0.480 0.625
In 0.355 0.480 0.875
In 0.645 0.520 0.125
In 0.895 0.520 0.375
O 0.000 0.000 0.000
O 0.223 0.973 0.250
O 0.500 0.000 0.500
O 0.777 0.027 0.750

VASP calculation (PBE) on an optimized crystal structure of PmInO3.

E_tot (eV/atom): -6.891
Formation energy without anion corrections (eV/atom): -2.418
Volume (Å³/cell): 288.4
Total moment (μB/f.u.): 0.00

a b c (Å): 6.357 6.040 7.535
angles (deg): 90.00 94.55 90.00
Sites, in units of the cell vectors:
Pm 0.140 0.204 0.167
Pm 0.140 0.296 0.667
Pm 0.860 0.704 0.333
Pm 0.860 0.796 0.833
In 0.404 0.734 0.070
In 0.404 0.766 0.570
In 0.596 0.234 0.430
In 0.596 0.266 0.930
O 0.083 0.664 0.619
O 0.083 0.836 0.119
O 0.281 0.079 0.457
O 0.281 0.421 0.957
O 0.464 0.577 0.332
O 0.464 0.923 0.832
O 0.536 0.077 0.168
O 0.536 0.423 0.668
O 0.719 0.579 0.043
O 0.719 0.921 0.543
O 0.917 0.164 0.881
O 0.917 0.336 0.381

VASP calculation (PBE) on an optimized crystal structure of PmInO.

E_tot (eV/atom): -6.065
Formation energy without anion corrections (eV/atom): -1.916
Energy relative to the lowest polymorph listed for this composition (meV/atom): 128
Volume (Å³/cell): 122.4
Total moment (μB/f.u.): 0.00

a b c (Å): 3.361 3.361 10.831
angles (deg): 90.00 90.00 90.00
Sites, in units of the cell vectors:
Pm 0.250 0.250 0.137
Pm 0.750 0.750 0.863
In 0.250 0.250 0.605
In 0.750 0.750 0.395
O 0.250 0.250 0.917
O 0.750 0.750 0.083

VASP calculation (PBE) on an optimized crystal structure of Pm12PrIn4O3.

E_tot (eV/atom): -5.181
Formation energy without anion corrections (eV/atom): -0.801
Volume (Å³/cell): 530.2
Total moment (μB/f.u.): 1.03

a b c (Å): 8.831 8.831 8.831
angles (deg): 109.47 109.47 109.47
Sites, in units of the cell vectors:
Pm 0.000 0.273 0.273
Pm 0.000 0.727 0.727
Pm 0.250 0.500 0.750
Pm 0.250 0.750 0.500
Pm 0.273 0.000 0.273
Pm 0.273 0.273 0.000
Pm 0.500 0.250 0.750
Pm 0.500 0.750 0.250
Pm 0.727 0.000 0.727
Pm 0.727 0.727 0.000
Pm 0.750 0.250 0.500
Pm 0.750 0.500 0.250
Pr 0.000 0.000 0.000
In 0.000 0.000 0.500
In 0.000 0.500 0.000
In 0.500 0.000 0.000
In 0.500 0.500 0.500
O 0.000 0.500 0.500
O 0.500 0.000 0.500
O 0.500 0.500 0.000

VASP calculation (PBE) on an optimized crystal structure of Pm2PrInO.

E_tot (eV/atom): -5.806
Formation energy without anion corrections (eV/atom): -1.411
Volume (Å³/cell): 122.9
Total moment (μB/f.u.): 0.00

a b c (Å): 4.940 4.940 5.036
angles (deg): 90.00 90.00 90.00
Sites, in units of the cell vectors:
Pm 0.000 0.500 0.000
Pm 0.500 0.000 0.000
Pr 0.000 0.000 0.500
In 0.500 0.500 0.500
O 0.000 0.000 0.000

VASP calculation (PBE) on an optimized crystal structure of PmPr2InO.

E_tot (eV/atom): -5.801
Formation energy without anion corrections (eV/atom): -1.400
Volume (Å³/cell): 125.1
Total moment (μB/f.u.): 0.00

a b c (Å): 5.035 5.035 4.934
angles (deg): 90.00 90.00 90.00
Sites, in units of the cell vectors:
Pm 0.000 0.000 0.000
Pr 0.000 0.500 0.500
Pr 0.500 0.000 0.500
In 0.500 0.500 0.000
O 0.000 0.000 0.500

VASP calculation (PBE) on an optimized crystal structure of PmPr12In4O3.

E_tot (eV/atom): -5.185
Formation energy without anion corrections (eV/atom): -0.788
Volume (Å³/cell): 553.8
Total moment (μB/f.u.): 0.75

a b c (Å): 8.961 8.961 8.961
angles (deg): 109.47 109.47 109.47
Sites, in units of the cell vectors:
Pm 0.000 0.000 0.000
Pr 0.000 0.272 0.272
Pr 0.000 0.728 0.728
Pr 0.250 0.500 0.750
Pr 0.250 0.750 0.500
Pr 0.272 0.000 0.272
Pr 0.272 0.272 0.000
Pr 0.500 0.250 0.750
Pr 0.500 0.750 0.250
Pr 0.728 0.000 0.728
Pr 0.728 0.728 0.000
Pr 0.750 0.250 0.500
Pr 0.750 0.500 0.250
In 0.000 0.000 0.500
In 0.000 0.500 0.000
In 0.500 0.000 0.000
In 0.500 0.500 0.500
O 0.000 0.500 0.500
O 0.500 0.000 0.500
O 0.500 0.500 0.000